Entry 1:
Density functional theory data (PBE) for FePIr2 after structural relaxation.

a b c (Å): 2.7564 4.7940 8.3582
angles (deg): 90.00 90.00 90.00
Positions (direct):
Fe (0.0000, 0.0000, 0.0000)
Fe (0.5000, 0.5000, 0.0000)
P (0.0000, 0.5000, 0.2206)
P (0.5000, 0.0000, 0.2206)
Ir (0.0000, 0.0000, 0.4525)
Ir (0.0000, 0.5000, 0.7432)
Ir (0.5000, 0.0000, 0.7432)
Ir (0.5000, 0.5000, 0.4525)

The calculated formation energy is 0.23 eV per atom. As for the crystal system: orthorhombic. The value obtained for the spin magnetization is 2.7 μB/f.u. The calculation puts the density of states at the Fermi level at 1.0938 states/eV per atom.

***

Entry 2:
Density functional theory data (PBE) for PrY3Pd12 after structural relaxation.

a b c (Å): 4.1520 4.1520 16.6710
angles (deg): 90.00 90.00 90.00
Positions (direct):
Pr (0.0000, 0.0000, 0.0000)
Y (0.0000, 0.0000, 0.2532)
Y (0.0000, 0.0000, 0.5000)
Y (0.0000, 0.0000, 0.7468)
Pd (0.0000, 0.5000, 0.1294)
Pd (0.0000, 0.5000, 0.3763)
Pd (0.0000, 0.5000, 0.6237)
Pd (0.0000, 0.5000, 0.8706)
Pd (0.5000, 0.0000, 0.1294)
Pd (0.5000, 0.0000, 0.3763)
Pd (0.5000, 0.0000, 0.6237)
Pd (0.5000, 0.0000, 0.8706)
Pd (0.5000, 0.5000, 0.0000)
Pd (0.5000, 0.5000, 0.2525)
Pd (0.5000, 0.5000, 0.5000)
Pd (0.5000, 0.5000, 0.7475)

The calculated formation energy is -0.82 eV per atom. As for the crystal system: tetragonal. The value obtained for the spin magnetization is 0.0 μB/f.u. The calculation puts the density of states at the Fermi level at 0.6831 states/eV per atom.

***

Entry 3:
Density functional theory data (PBE) for Ag2PRu after structural relaxation.

a b c (Å): 6.8142 3.7381 5.8582
angles (deg): 90.00 111.16 90.00
Positions (direct):
Ag (0.0000, 0.0000, 0.0000)
Ag (0.2255, 0.0000, 0.6896)
Ag (0.5000, 0.5000, 0.0000)
Ag (0.7255, 0.5000, 0.6896)
P (0.4771, 0.0000, 0.4044)
P (0.9771, 0.5000, 0.4044)
Ru (0.2806, 0.5000, 0.3262)
Ru (0.7806, 0.0000, 0.3262)

The calculated formation energy is 0.12 eV per atom. As for the crystal system: monoclinic. Its excess energy over the best structure of this formula in the dataset is 165 meV/atom. The value obtained for the spin magnetization is 0.0 μB/f.u. The calculation puts the density of states at the Fermi level at 0.4501 states/eV per atom.

***

Entry 4:
Density functional theory data (PBE) for Ag4RuC2 after structural relaxation.

a b c (Å): 5.1950 5.1950 10.7591
angles (deg): 90.00 90.00 90.00
Positions (direct):
Ag (0.0000, 0.0000, 0.2464)
Ag (0.0000, 0.0000, 0.7536)
Ag (0.0000, 0.5000, 0.0000)
Ag (0.0000, 0.5000, 0.5000)
Ag (0.5000, 0.0000, 0.0000)
Ag (0.5000, 0.0000, 0.5000)
Ag (0.5000, 0.5000, 0.2536)
Ag (0.5000, 0.5000, 0.7464)
Ru (0.0000, 0.0000, 0.0000)
Ru (0.5000, 0.5000, 0.5000)
C (0.0000, 0.0000, 0.4402)
C (0.0000, 0.0000, 0.5598)
C (0.5000, 0.5000, 0.0598)
C (0.5000, 0.5000, 0.9402)

The calculated formation energy is 1.45 eV per atom. As for the crystal system: tetragonal. The value obtained for the spin magnetization is 2.0 μB/f.u. The calculation puts the density of states at the Fermi level at 0.7642 states/eV per atom.

***

Entry 5:
Density functional theory data (PBE) for Mg2CoRe after structural relaxation.

a b c (Å): 3.0383 4.4319 4.4882
angles (deg): 90.00 90.00 90.00
Positions (direct):
Mg (0.0000, 0.0000, 0.0000)
Mg (0.5000, 0.5000, 0.0000)
Co (0.0000, 0.5000, 0.5000)
Re (0.5000, 0.0000, 0.5000)

The calculated formation energy is 0.38 eV per atom. As for the crystal system: orthorhombic. Its excess energy over the best structure of this formula in the dataset is 288 meV/atom. The value obtained for the spin magnetization is 2.0 μB/f.u. The calculation puts the density of states at the Fermi level at 0.5634 states/eV per atom.

***

Entry 6:
Density functional theory data (PBE) for MgSb2Pt after structural relaxation.

a b c (Å): 4.1319 4.5433 4.5551
angles (deg): 90.00 90.00 90.00
Positions (direct):
Mg (0.0000, 0.0000, 0.0000)
Sb (0.5000, 0.0000, 0.5000)
Sb (0.5000, 0.5000, 0.0000)
Pt (0.0000, 0.5000, 0.5000)

As for the crystal system: orthorhombic. Its energy relative to the elements, uncorrected is -0.15 eV per atom. The value obtained for the spin magnetization is 0.0 μB/f.u. The calculation puts the density of states at the Fermi level at 0.3734 states/eV per atom.

***

> What is the spin magnetization in the third record?

0.0 μB/f.u.